Entry 1:
Entry from Alexandria: NpCu12Ge6 after structural relaxation (GGA-PBE).

Geometry as POSCAR:
```
NpCu12Ge6
1.0
5.362 3.096 2.917
-5.362 3.096 2.917
0.000 -6.192 2.917
Np Cu Ge
1 12 6
Direct
0.000 0.000 0.000
0.112 0.500 0.888
0.112 0.888 0.500
0.141 0.387 0.387
0.387 0.141 0.387
0.387 0.387 0.141
0.500 0.112 0.888
0.500 0.888 0.112
0.613 0.613 0.859
0.613 0.859 0.613
0.859 0.613 0.613
0.888 0.112 0.500
0.888 0.500 0.112
0.269 0.269 0.704
0.269 0.704 0.269
0.296 0.731 0.731
0.704 0.269 0.269
0.731 0.296 0.731
0.731 0.731 0.296
```

## Properties
Symmetry   R-3m


Entry 2:
Entry from Alexandria: LiSbI2N after structural relaxation (GGA-PBE).

Geometry as POSCAR:
```
LiSbI2N
1.0
5.622 0.000 0.000
0.000 5.622 0.000
0.000 0.000 3.975
Li Sb I N
1 1 2 1
Direct
0.000 0.000 0.000
0.500 0.500 0.500
0.000 0.500 0.000
0.500 0.000 0.000
0.000 0.000 0.500
```

## Properties
Symmetry   P4/mmm
Uncorrected formation energy   61.97 kJ/mol of atoms


Entry 3:
Entry from Alexandria: SrLaP after structural relaxation (GGA-PBE).

Geometry as POSCAR:
```
SrLaP
1.0
4.259 0.000 0.000
-2.129 3.688 0.000
0.000 0.000 7.154
Sr La P
1 1 1
Direct
0.000 0.000 0.000
0.667 0.333 0.528
0.333 0.667 0.737
```

## Properties
Symmetry   P3m1


Table of uncorrected energy (eV/atom), in record order: -4.57 -2.85 -4.89
Table of ρ (g cm⁻³), in record order: 8.2 5.2 3.8
Table of density of states at the Fermi level (states/eV per atom), in record order: 0.7741 0.6861 0.8711